Below is AlCdCl5 after structural relaxation, with properties calculated at the PBE level.

abc: 6.4961 6.4961 9.7733
angles: 112.30 112.30 67.05
Atoms (fractional coordinates):
Al (0.0000, 0.0000, 0.0000)
Al (0.0000, 0.0000, 0.5000)
Cd (0.4838, 0.5162, 0.7500)
Cd (0.5162, 0.4838, 0.2500)
Cl (0.1198, 0.3158, 0.6389)
Cl (0.1202, 0.8798, 0.7500)
Cl (0.2127, 0.6265, 0.0218)
Cl (0.3158, 0.1198, 0.1389)
Cl (0.3735, 0.7873, 0.4782)
Cl (0.6265, 0.2127, 0.5218)
Cl (0.6842, 0.8802, 0.8611)
Cl (0.7873, 0.3735, 0.9782)
Cl (0.8798, 0.1202, 0.2500)
Cl (0.8802, 0.6842, 0.3611)

Computed properties:
- ΔE to the lowest computed polymorph (kJ/mol of atoms) = 12.3
- SG = No. 15
- energy relative to the elements, uncorrected (eV per atom) = -1.17
- density of states at the Fermi level (states/eV/atom) = 0.000



Below is Al2CdCl after structural relaxation, with properties calculated at the PBE level.

abc: 5.4811 5.4811 5.4811
angles: 132.90 132.90 68.82
Atoms (fractional coordinates):
Al (0.2500, 0.7500, 0.5000)
Al (0.7500, 0.2500, 0.5000)
Cd (0.0000, 0.0000, 0.0000)
Cl (0.5000, 0.5000, 0.0000)

Computed properties:
- ΔE to the lowest computed polymorph (kJ/mol of atoms) = 27.8
- SG = No. 139
- energy relative to the elements, uncorrected (eV per atom) = 0.10
- density of states at the Fermi level (states/eV/atom) = 0.337



Below is AlCd2Cl after structural relaxation, with properties calculated at the PBE level.

abc: 7.1075 7.1075 4.6675
angles: 108.36 108.36 24.79
Atoms (fractional coordinates):
Al (0.0000, 0.0000, 0.0000)
Cd (0.3071, 0.3071, 0.8036)
Cd (0.6929, 0.6929, 0.1964)
Cl (0.5000, 0.5000, 0.5000)

Computed properties:
- ΔE to the lowest computed polymorph (kJ/mol of atoms) = 9.9
- SG = No. 12
- energy relative to the elements, uncorrected (eV per atom) = -0.13
- density of states at the Fermi level (states/eV/atom) = 0.230



Below is AlCd2Cl after structural relaxation, with properties calculated at the PBE level.

abc: 5.1654 5.1654 5.1654
angles: 60.00 60.00 60.00
Atoms (fractional coordinates):
Al (0.0000, 0.0000, 0.0000)
Cd (0.2500, 0.2500, 0.2500)
Cd (0.7500, 0.7500, 0.7500)
Cl (0.5000, 0.5000, 0.5000)

Computed properties:
- ΔE to the lowest computed polymorph (kJ/mol of atoms) = 30.3
- SG = No. 225
- energy relative to the elements, uncorrected (eV per atom) = 0.08
- density of states at the Fermi level (states/eV/atom) = 0.247



Below is AlCd3Cl after structural relaxation, with properties calculated at the PBE level.

abc: 5.4871 5.4871 5.4871
angles: 90.00 90.00 90.00
Atoms (fractional coordinates):
Al (0.0000, 0.0000, 0.0000)
Cd (0.0000, 0.5000, 0.5000)
Cd (0.5000, 0.0000, 0.5000)
Cd (0.5000, 0.5000, 0.0000)
Cl (0.5000, 0.5000, 0.5000)

Computed properties:
- ΔE to the lowest computed polymorph (kJ/mol of atoms) = 51.6
- SG = No. 221
- energy relative to the elements, uncorrected (eV per atom) = 0.51
- density of states at the Fermi level (states/eV/atom) = 0.343



Below is AlCdCl after structural relaxation, with properties calculated at the PBE level.

abc: 4.9181 4.9181 3.2125
angles: 90.00 90.00 120.00
Atoms (fractional coordinates):
Al (0.0000, 0.0000, 0.0000)
Cd (0.6667, 0.3333, 0.4996)
Cl (0.3333, 0.6667, 0.0024)

Computed properties:
- ΔE to the lowest computed polymorph (kJ/mol of atoms) = 20.0
- SG = No. 156
- energy relative to the elements, uncorrected (eV per atom) = -0.08
- density of states at the Fermi level (states/eV/atom) = 0.285



Below is Al2CdCl after structural relaxation, with properties calculated at the PBE level.

abc: 6.7514 6.7514 5.0189
angles: 111.71 111.71 24.87
Atoms (fractional coordinates):
Al (0.0000, 0.0000, 0.0000)
Al (0.6904, 0.6904, 0.0463)
Cd (0.2854, 0.2854, 0.6405)
Cl (0.4878, 0.4878, 0.3620)

Computed properties:
- ΔE to the lowest computed polymorph (kJ/mol of atoms) = 8.3
- SG = No. 8
- energy relative to the elements, uncorrected (eV per atom) = -0.10
- density of states at the Fermi level (states/eV/atom) = 0.247



Below is AlCd2Cl after structural relaxation, with properties calculated at the PBE level.

abc: 10.4946 10.4946 10.4946
angles: 17.64 17.64 17.64
Atoms (fractional coordinates):
Al (0.0000, 0.0000, 0.0000)
Cd (0.4890, 0.4890, 0.4890)
Cd (0.7370, 0.7370, 0.7370)
Cl (0.2788, 0.2788, 0.2788)

Computed properties:
- ΔE to the lowest computed polymorph (kJ/mol of atoms) = 0.0
- SG = No. 160
- energy relative to the elements, uncorrected (eV per atom) = -0.23
- density of states at the Fermi level (states/eV/atom) = 0.425



Below is Al2CdCl after structural relaxation, with properties calculated at the PBE level.

abc: 4.0322 4.0322 5.5263
angles: 90.00 90.00 90.00
Atoms (fractional coordinates):
Al (0.0000, 0.5000, 0.0000)
Al (0.5000, 0.0000, 0.0000)
Cd (0.0000, 0.0000, 0.5000)
Cl (0.5000, 0.5000, 0.5000)

Computed properties:
- ΔE to the lowest computed polymorph (kJ/mol of atoms) = 30.5
- SG = No. 123
- energy relative to the elements, uncorrected (eV per atom) = 0.13
- density of states at the Fermi level (states/eV/atom) = 0.702



Below is AlCdCl after structural relaxation, with properties calculated at the PBE level.

abc: 8.6308 8.3185 3.2006
angles: 84.67 73.66 21.67
Atoms (fractional coordinates):
Al (0.0000, 0.0000, 0.0000)
Cd (0.3313, 0.3313, 0.6687)
Cl (0.6103, 0.6103, 0.3897)

Computed properties:
- ΔE to the lowest computed polymorph (kJ/mol of atoms) = 2.6
- SG = No. 42
- energy relative to the elements, uncorrected (eV per atom) = -0.26
- density of states at the Fermi level (states/eV/atom) = 0.229



Below is AlCd2Cl after structural relaxation, with properties calculated at the PBE level.

abc: 8.1394 8.1394 8.1394
angles: 26.20 26.20 26.20
Atoms (fractional coordinates):
Al (0.0000, 0.0000, 0.0000)
Cd (0.2543, 0.2543, 0.2543)
Cd (0.7457, 0.7457, 0.7457)
Cl (0.5000, 0.5000, 0.5000)

Computed properties:
- ΔE to the lowest computed polymorph (kJ/mol of atoms) = 6.6
- SG = No. 166
- energy relative to the elements, uncorrected (eV per atom) = -0.16
- density of states at the Fermi level (states/eV/atom) = 0.344



Below is AlCd2Cl8 after structural relaxation, with properties calculated at the PBE level.

abc: 7.1259 7.1259 9.7303
angles: 109.98 109.98 55.75
Atoms (fractional coordinates):
Al (0.0000, 0.0000, 0.0000)
Cd (0.2545, 0.2545, 0.3545)
Cd (0.7455, 0.7455, 0.6455)
Cl (0.1144, 0.6418, 0.8717)
Cl (0.1809, 0.1809, 0.5473)
Cl (0.3582, 0.8856, 0.1283)
Cl (0.4500, 0.4500, 0.3522)
Cl (0.5500, 0.5500, 0.6478)
Cl (0.6418, 0.1144, 0.8717)
Cl (0.8191, 0.8191, 0.4527)
Cl (0.8856, 0.3582, 0.1283)

Computed properties:
- ΔE to the lowest computed polymorph (kJ/mol of atoms) = 10.0
- SG = No. 12
- energy relative to the elements, uncorrected (eV per atom) = -0.92



ΔE to the lowest computed polymorph of number 4 (AlCd2Cl)?
30.3 kJ/mol of atoms



What is the ΔE to the lowest computed polymorph in the first record?
12.3 kJ/mol of atoms



Look up the energy relative to the elements, uncorrected of the third one.
-0.13 eV per atom